(1)
VASP calculation (PBE) on a geometry-optimized NaZrAgTe3 structure.

Properties
total moment = 0.0 μB/f.u.
N(E_F) = 0.5 states/eV/f.u.
energy relative to the elements, uncorrected = -0.72 eV/atom

Geometry as extended XYZ:
```
12
Lattice="4.1671 0.0000 0.0000 0.0000 8.3499 0.1375 0.0000 -3.1422 9.9326" Properties=species:S:1:pos:R:3 pbc="T T T"
Na 3.1254 4.0978 7.1957
Na 1.0418 1.1099 2.8744
Zr 1.0418 5.2260 1.8515
Zr 3.1254 -0.0183 8.2186
Ag 1.0418 -1.2105 5.9530
Ag 3.1254 6.4182 4.1171
Te 1.0418 4.5329 4.6312
Te 3.1254 7.2582 1.4794
Te 3.1254 3.1703 1.3461
Te 3.1254 0.6748 5.4390
Te 1.0418 2.0374 8.7241
Te 1.0418 -2.0505 8.5907
```

***

(2)
VASP calculation (PBE) on a geometry-optimized Re2IrW structure.

Properties
total moment = 0.0 μB/f.u.
energy above the lowest structure with this stoichiometry = 314 meV per atom
N(E_F) = 3.6 states/eV/f.u.
calculated formation energy = 218 meV/atom

Geometry as extended XYZ:
```
4
Lattice="-3.0183 1.1188 -0.7058 -0.3016 -2.2941 -2.3465 -2.2250 -3.6011 3.8069" Properties=species:S:1:pos:R:3 pbc="T T T"
Ir -3.2941 -3.2324 1.2697
Re -0.0132 -0.0213 0.0226
Re -2.1969 -1.4566 -0.6075
W -1.1533 -1.8666 1.9733
```

***

(3)
VASP calculation (PBE) on a geometry-optimized Hf2ScRe structure.

Properties
total moment = 0.0 μB/f.u.
energy above the lowest structure with this stoichiometry = 22 meV per atom
N(E_F) = 6.9 states/eV/f.u.
calculated formation energy = -84 meV/atom

Geometry as extended XYZ:
```
4
Lattice="0.0000 3.3857 3.3857 3.3857 0.0000 3.3857 3.3857 3.3857 0.0000" Properties=species:S:1:pos:R:3 pbc="T T T"
Sc 0.0000 0.0000 0.0000
Re 3.3857 3.3857 3.3857
Hf 1.6928 1.6928 1.6928
Hf 5.0785 5.0785 5.0785
```

***

(4)
VASP calculation (PBE) on a geometry-optimized Nd6P5S structure.

Properties
total moment = 0.0 μB/f.u.
N(E_F) = 2.5 states/eV/f.u.
energy relative to the elements, uncorrected = -1.67 eV/atom

Geometry as extended XYZ:
```
12
Lattice="7.1141 0.1708 1.0793 1.7451 6.0313 3.5158 0.1190 0.0662 7.1916" Properties=species:S:1:pos:R:3 pbc="T T T"
P 3.9265 1.1320 5.9251
P 0.6210 2.0314 3.5712
P 4.4296 3.1011 2.2976
P 1.2430 4.0662 7.1361
P 5.0516 5.1363 5.8616
S 0.0000 0.0000 0.0000
Nd 5.5101 0.6565 3.5215
Nd 2.8422 3.5618 4.7285
Nd 2.2359 1.5642 1.1591
Nd 6.6232 4.6379 3.4360
Nd 6.1359 2.7066 7.0583
Nd 3.4680 5.6119 8.2652
```

***

(5)
VASP calculation (PBE) on a geometry-optimized ReNiRu structure.

Properties
total moment = 0.0 μB/f.u.
energy above the lowest structure with this stoichiometry = 141 meV per atom
N(E_F) = 2.4 states/eV/f.u.
calculated formation energy = 128 meV/atom

Geometry as extended XYZ:
```
3
Lattice="-0.6370 3.5188 3.0248 -3.8740 0.5713 2.5696 3.1400 -3.2643 -1.1926" Properties=species:S:1:pos:R:3 pbc="T T T"
Ni -0.0158 0.0143 0.0196
Re -2.9768 2.6990 3.6917
Ru -1.5184 1.3768 1.8831
```

***

(6)
VASP calculation (PBE) on a geometry-optimized Ce3PrNd2N6 structure.

Properties
total moment = 0.0 μB/f.u.
N(E_F) = 7.4 states/eV/f.u.
energy relative to the elements, uncorrected = -1.44 eV/atom

Geometry as extended XYZ:
```
12
Lattice="-3.0713 1.2541 -5.2992 -2.9482 -2.8456 4.7221 0.4110 5.7801 2.3596" Properties=species:S:1:pos:R:3 pbc="T T T"
Ce -2.7633 0.7285 4.2300
Ce -2.8453 3.4602 -2.4475
Ce -2.8043 2.0943 0.8912
Pr 0.0000 0.0000 0.0000
Nd -2.9892 -1.4790 1.3816
Nd -3.0303 -0.1125 -1.9587
N -4.1915 3.7371 -0.3826
N -4.4266 0.3476 0.1966
N -1.4170 0.4515 2.1651
N -4.1502 2.3615 2.9800
N -1.1819 3.8411 1.5859
N -1.4583 1.8272 -1.1976
```